{"formula": "Ac3IrS2", "functional": "PBE", "state": "relaxed", "lattice": [[0.0000, 6.2076, 12.9704], [4.4414, 0.0000, 12.9704], [4.4414, 6.2076, 0.0000]], "species": ["Ac", "Ac", "Ac", "Ac", "Ac", "Ac", "Ac", "Ac", "Ac", "Ac", "Ac", "Ac", "Ir", "Ir", "Ir", "Ir", "S", "S", "S", "S", "S", "S", "S", "S"], "frac_coords": [[0.0375, 0.5393, 0.1977], [0.1100, 0.6400, 0.6400], [0.1977, 0.7254, 0.0375], [0.2746, 0.8023, 0.4607], [0.3600, 0.8900, 0.8900], [0.4607, 0.9625, 0.2746], [0.5393, 0.0375, 0.7254], [0.6400, 0.1100, 0.1100], [0.7254, 0.1977, 0.5393], [0.8023, 0.2746, 0.9625], [0.8900, 0.3600, 0.3600], [0.9625, 0.4607, 0.8023], [0.0412, 0.0412, 0.2088], [0.2088, 0.2088, 0.0412], [0.7912, 0.7912, 0.9588], [0.9588, 0.9588, 0.7912], [0.1261, 0.1261, 0.6239], [0.2945, 0.2945, 0.4555], [0.3761, 0.3761, 0.8739], [0.4555, 0.4555, 0.2945], [0.5445, 0.5445, 0.7055], [0.6239, 0.6239, 0.1261], [0.7055, 0.7055, 0.5445], [0.8739, 0.8739, 0.3761]], "m_tot_mub_per_atom": 0.000, "formation_energy_uncorrected_kj_per_mol_fu": -895.2, "sg": "Fddd, No. 70", "energy_ev_per_atom": -6.453}